Record 1
# PaPd5Pt6 | the Alexandria database | PBE | optimized geometry
data_PaPd5Pt6
_chemical_formula_sum 'Pa2 Pd10 Pt12'
_space_group_name_H-M_alt 'I m m m'
_space_group_IT_number 71
_space_group_name_Hall '-I 2 2'
_cell_length_a 4.0489
_cell_length_b 8.1472
_cell_length_c 11.9063
_cell_angle_alpha 90.00
_cell_angle_beta 90.00
_cell_angle_gamma 90.00
loop_
_atom_site_label
_atom_site_type_symbol
_atom_site_fract_x
_atom_site_fract_y
_atom_site_fract_z
_atom_site_occupancy
Pa1 Pa 0.0000 0.0000 0.0000 1
Pd1 Pd 0.0000 0.0000 0.3338 1
Pd2 Pd 0.0000 0.5000 0.0000 1
Pd3 Pd 0.0000 0.5000 0.3320 1
Pt1 Pt 0.0000 0.2471 0.5000 1
Pt2 Pt 0.0000 0.2507 0.1671 1
# Calculated formation energy   -0.41 eV/atom
# Crystal system   orthorhombic

Record 2
# Pa2Pd5Pt5 | the Alexandria database | PBE | optimized geometry
data_Pa2Pd5Pt5
_chemical_formula_sum 'Pa4 Pd10 Pt10'
_space_group_name_H-M_alt 'C 1 2/m 1'
_space_group_IT_number 12
_space_group_name_Hall '-C 2y'
_cell_length_a 12.0380
_cell_length_b 4.1524
_cell_length_c 9.1799
_cell_angle_alpha 90.00
_cell_angle_beta 115.93
_cell_angle_gamma 90.00
loop_
_atom_site_label
_atom_site_type_symbol
_atom_site_fract_x
_atom_site_fract_y
_atom_site_fract_z
_atom_site_occupancy
Pa1 Pa 0.0834 0.0000 0.2514 1
Pd1 Pd 0.0000 0.5000 0.0000 1
Pd2 Pd 0.0813 0.5000 0.7506 1
Pd3 Pd 0.1642 0.5000 0.5042 1
Pt1 Pt 0.0000 0.0000 0.5000 1
Pt2 Pt 0.1653 0.0000 0.9982 1
Pt3 Pt 0.2450 0.5000 0.2511 1
# Calculated formation energy   -0.72 eV/atom
# Crystal system   monoclinic

Record 3
# PaPd5Pt | the Alexandria database | PBE | optimized geometry
data_PaPd5Pt
_chemical_formula_sum 'Pa4 Pd20 Pt4'
_space_group_name_H-M_alt 'C 1 2/c 1'
_space_group_IT_number 15
_space_group_name_Hall '-C 2yc'
_cell_length_a 11.3167
_cell_length_b 7.7942
_cell_length_c 5.5659
_cell_angle_alpha 90.00
_cell_angle_beta 100.38
_cell_angle_gamma 90.00
loop_
_atom_site_label
_atom_site_type_symbol
_atom_site_fract_x
_atom_site_fract_y
_atom_site_fract_z
_atom_site_occupancy
Pa1 Pa 0.0000 0.2294 0.2500 1
Pd1 Pd 0.0000 0.1530 0.7500 1
Pd2 Pd 0.1097 0.4628 0.6530 1
Pd3 Pd 0.1849 0.0892 0.5238 1
Pt1 Pt 0.2500 0.2500 0.0000 1
# Calculated formation energy   -0.47 eV/atom
# Crystal system   monoclinic

Record 4
# Pa2PdPt2 | the Alexandria database | PBE | optimized geometry
data_Pa2PdPt2
_chemical_formula_sum 'Pa4 Pd2 Pt4'
_space_group_name_H-M_alt 'P b a m'
_space_group_IT_number 55
_space_group_name_Hall '-P 2 2ab'
_cell_length_a 6.6355
_cell_length_b 9.0366
_cell_length_c 3.5602
_cell_angle_alpha 90.00
_cell_angle_beta 90.00
_cell_angle_gamma 90.00
loop_
_atom_site_label
_atom_site_type_symbol
_atom_site_fract_x
_atom_site_fract_y
_atom_site_fract_z
_atom_site_occupancy
Pa1 Pa 0.1455 0.1791 0.0000 1
Pd1 Pd 0.0000 0.5000 0.0000 1
Pt1 Pt 0.1851 0.8997 0.5000 1
# Calculated formation energy   -0.72 eV/atom
# Crystal system   orthorhombic

Record 5
# Pa2PdPt8 | the Alexandria database | PBE | optimized geometry
data_Pa2PdPt8
_chemical_formula_sum 'Pa2 Pd1 Pt8'
_space_group_name_H-M_alt 'P 4/m m m'
_space_group_IT_number 123
_space_group_name_Hall '-P 4 2'
_cell_length_a 4.1709
_cell_length_b 4.1709
_cell_length_c 11.6727
_cell_angle_alpha 90.00
_cell_angle_beta 90.00
_cell_angle_gamma 90.00
loop_
_atom_site_label
_atom_site_type_symbol
_atom_site_fract_x
_atom_site_fract_y
_atom_site_fract_z
_atom_site_occupancy
Pa1 Pa 0.0000 0.0000 0.1856 1
Pd1 Pd 0.0000 0.0000 0.5000 1
Pt1 Pt 0.0000 0.5000 0.0000 1
Pt2 Pt 0.0000 0.5000 0.3463 1
Pt3 Pt 0.5000 0.5000 0.1725 1
# Calculated formation energy   -0.64 eV/atom
# Crystal system   tetragonal

Record 6
# PaPd2Pt | the Alexandria database | PBE | optimized geometry
data_PaPd2Pt
_chemical_formula_sum 'Pa1 Pd2 Pt1'
_space_group_name_H-M_alt 'P 4/m m m'
_space_group_IT_number 123
_space_group_name_Hall '-P 4 2'
_cell_length_a 4.1196
_cell_length_b 4.1196
_cell_length_c 4.2937
_cell_angle_alpha 90.00
_cell_angle_beta 90.00
_cell_angle_gamma 90.00
loop_
_atom_site_label
_atom_site_type_symbol
_atom_site_fract_x
_atom_site_fract_y
_atom_site_fract_z
_atom_site_occupancy
Pa1 Pa 0.0000 0.0000 0.0000 1
Pd1 Pd 0.0000 0.5000 0.5000 1
Pt1 Pt 0.5000 0.5000 0.0000 1
# Calculated formation energy   -0.78 eV/atom
# Crystal system   tetragonal

Record 7
# PaPd6Pt | the Alexandria database | PBE | optimized geometry
data_PaPd6Pt
_chemical_formula_sum 'Pa1 Pd6 Pt1'
_space_group_name_H-M_alt 'P 4/m m m'
_space_group_IT_number 123
_space_group_name_Hall '-P 4 2'
_cell_length_a 5.7186
_cell_length_b 5.7186
_cell_length_c 4.0532
_cell_angle_alpha 90.00
_cell_angle_beta 90.00
_cell_angle_gamma 90.00
loop_
_atom_site_label
_atom_site_type_symbol
_atom_site_fract_x
_atom_site_fract_y
_atom_site_fract_z
_atom_site_occupancy
Pa1 Pa 0.0000 0.0000 0.0000 1
Pd1 Pd 0.0000 0.5000 0.0000 1
Pd2 Pd 0.2506 0.2506 0.5000 1
Pt1 Pt 0.5000 0.5000 0.0000 1
# Calculated formation energy   -0.52 eV/atom
# Crystal system   tetragonal

Record 8
# PaPd2Pt4 | the Alexandria database | PBE | optimized geometry
data_PaPd2Pt4
_chemical_formula_sum 'Pa2 Pd4 Pt8'
_space_group_name_H-M_alt 'P 1'
_space_group_IT_number 1
_space_group_name_Hall 'P 1'
_cell_length_a 6.5676
_cell_length_b 7.1419
_cell_length_c 7.1587
_cell_angle_alpha 117.82
_cell_angle_beta 116.13
_cell_angle_gamma 92.27
loop_
_atom_site_label
_atom_site_type_symbol
_atom_site_fract_x
_atom_site_fract_y
_atom_site_fract_z
_atom_site_occupancy
Pa1 Pa 0.0000 0.0000 0.0000 1
Pa2 Pa 0.3906 0.5820 0.5112 1
Pd1 Pd 0.2752 0.3536 0.7063 1
Pd2 Pd 0.4334 0.3146 0.1118 1
Pd3 Pd 0.7149 0.7973 0.4183 1
Pd4 Pd 0.7413 0.6445 0.9805 1
Pt1 Pt 0.2181 0.6923 0.1492 1
Pt2 Pt 0.3782 0.8449 0.9350 1
Pt3 Pt 0.4686 0.1645 0.4226 1
Pt4 Pt 0.5265 0.0326 0.7383 1
Pt5 Pt 0.8289 0.1074 0.3082 1
Pt6 Pt 0.8935 0.5585 0.6352 1
Pt7 Pt 0.9148 0.4342 0.2220 1
Pt8 Pt 0.9370 0.2563 0.8010 1
# Calculated formation energy   -0.49 eV/atom
# Crystal system   triclinic

Record 9
# Pa3Pd2Pt2 | the Alexandria database | PBE | optimized geometry
data_Pa3Pd2Pt2
_chemical_formula_sum 'Pa12 Pd8 Pt8'
_space_group_name_H-M_alt 'I 21 3'
_space_group_IT_number 199
_space_group_name_Hall 'I 2b 2c 3'
_cell_length_a 8.5119
_cell_length_b 8.5119
_cell_length_c 8.5119
_cell_angle_alpha 90.00
_cell_angle_beta 90.00
_cell_angle_gamma 90.00
loop_
_atom_site_label
_atom_site_type_symbol
_atom_site_fract_x
_atom_site_fract_y
_atom_site_fract_z
_atom_site_occupancy
Pa1 Pa 0.0000 0.2500 0.3620 1
Pd1 Pd 0.1598 0.3402 0.6598 1
Pt1 Pt 0.0737 0.0737 0.0737 1
# Calculated formation energy   -0.69 eV/atom
# Crystal system   cubic

Record 10
# PaPd4Pt7 | the Alexandria database | PBE | optimized geometry
data_PaPd4Pt7
_chemical_formula_sum 'Pa2 Pd8 Pt14'
_space_group_name_H-M_alt 'C 1 2/m 1'
_space_group_IT_number 12
_space_group_name_Hall '-C 2y'
_cell_length_a 16.8052
_cell_length_b 4.0015
_cell_length_c 6.2470
_cell_angle_alpha 90.00
_cell_angle_beta 99.97
_cell_angle_gamma 90.00
loop_
_atom_site_label
_atom_site_type_symbol
_atom_site_fract_x
_atom_site_fract_y
_atom_site_fract_z
_atom_site_occupancy
Pa1 Pa 0.0000 0.0000 0.0000 1
Pd1 Pd 0.1101 0.5000 0.3667 1
Pd2 Pd 0.1607 0.0000 0.7093 1
Pt1 Pt 0.0000 0.0000 0.5000 1
Pt2 Pt 0.0556 0.5000 0.7684 1
Pt3 Pt 0.1939 0.5000 0.0309 1
Pt4 Pt 0.2276 0.0000 0.3381 1
# Calculated formation energy   -0.26 eV/atom
# Crystal system   monoclinic

Record 11
# Pa3Pd4Pt3 | the Alexandria database | PBE | optimized geometry
data_Pa3Pd4Pt3
_chemical_formula_sum 'Pa12 Pd16 Pt12'
_space_group_name_H-M_alt 'I -4 2 d'
_space_group_IT_number 122
_space_group_name_Hall 'I -4 2bw'
_cell_length_a 10.4482
_cell_length_b 10.4482
_cell_length_c 7.1708
_cell_angle_alpha 90.00
_cell_angle_beta 90.00
_cell_angle_gamma 90.00
loop_
_atom_site_label
_atom_site_type_symbol
_atom_site_fract_x
_atom_site_fract_y
_atom_site_fract_z
_atom_site_occupancy
Pa1 Pa 0.0000 0.0000 0.0000 1
Pa2 Pa 0.0877 0.7500 0.6250 1
Pd1 Pd 0.1437 0.6542 0.9977 1
Pt1 Pt 0.0000 0.0000 0.5000 1
Pt2 Pt 0.1014 0.2500 0.1250 1
# Calculated formation energy   -0.76 eV/atom
# Crystal system   tetragonal

Record 12
# PaPdPt2 | the Alexandria database | PBE | optimized geometry
data_PaPdPt2
_chemical_formula_sum 'Pa1 Pd1 Pt2'
_space_group_name_H-M_alt 'P 4/m m m'
_space_group_IT_number 123
_space_group_name_Hall '-P 4 2'
_cell_length_a 3.6809
_cell_length_b 3.6809
_cell_length_c 5.5448
_cell_angle_alpha 90.00
_cell_angle_beta 90.00
_cell_angle_gamma 90.00
loop_
_atom_site_label
_atom_site_type_symbol
_atom_site_fract_x
_atom_site_fract_y
_atom_site_fract_z
_atom_site_occupancy
Pa1 Pa 0.0000 0.0000 0.0000 1
Pd1 Pd 0.0000 0.0000 0.5000 1
Pt1 Pt 0.5000 0.5000 0.2524 1
# Calculated formation energy   -0.86 eV/atom
# Crystal system   tetragonal

Record 13
# PaPd2Pt | the Alexandria database | PBE | optimized geometry
data_PaPd2Pt
_chemical_formula_sum 'Pa2 Pd4 Pt2'
_space_group_name_H-M_alt 'P -1'
_space_group_IT_number 2
_space_group_name_Hall '-P 1'
_cell_length_a 4.3408
_cell_length_b 5.2164
_cell_length_c 7.6291
_cell_angle_alpha 77.60
_cell_angle_beta 73.56
_cell_angle_gamma 65.68
loop_
_atom_site_label
_atom_site_type_symbol
_atom_site_fract_x
_atom_site_fract_y
_atom_site_fract_z
_atom_site_occupancy
Pa1 Pa 0.2342 0.1982 0.3333 1
Pd1 Pd 0.2543 0.6033 0.8878 1
Pd2 Pd 0.5000 0.0000 0.0000 1
Pd3 Pd 0.5000 0.5000 0.5000 1
Pt1 Pt 0.0442 0.1869 0.7291 1
# Calculated formation energy   -0.68 eV/atom
# Crystal system   triclinic

Record 14
# PaPd2Pt | the Alexandria database | PBE | optimized geometry
data_PaPd2Pt
_chemical_formula_sum 'Pa4 Pd8 Pt4'
_space_group_name_H-M_alt 'C m c m'
_space_group_IT_number 63
_space_group_name_Hall '-C 2c 2'
_cell_length_a 5.7561
_cell_length_b 9.9506
_cell_length_c 5.0562
_cell_angle_alpha 90.00
_cell_angle_beta 90.00
_cell_angle_gamma 90.00
loop_
_atom_site_label
_atom_site_type_symbol
_atom_site_fract_x
_atom_site_fract_y
_atom_site_fract_z
_atom_site_occupancy
Pa1 Pa 0.0000 0.1728 0.2500 1
Pd1 Pd 0.2482 0.4243 0.2500 1
Pt1 Pt 0.0000 0.3296 0.7500 1
# Calculated formation energy   -0.90 eV/atom
# Crystal system   orthorhombic

Record 15
# PaPd3Pt3 | the Alexandria database | PBE | optimized geometry
data_PaPd3Pt3
_chemical_formula_sum 'Pa2 Pd6 Pt6'
_space_group_name_H-M_alt 'P 63/m'
_space_group_IT_number 176
_space_group_name_Hall '-P 6c'
_cell_length_a 7.6091
_cell_length_b 7.6091
_cell_length_c 4.7812
_cell_angle_alpha 90.00
_cell_angle_beta 90.00
_cell_angle_gamma 120.00
loop_
_atom_site_label
_atom_site_type_symbol
_atom_site_fract_x
_atom_site_fract_y
_atom_site_fract_z
_atom_site_occupancy
Pa1 Pa 0.3333 0.6667 0.2500 1
Pd1 Pd 0.0447 0.8047 0.2500 1
Pt1 Pt 0.0905 0.6255 0.7500 1
# Calculated formation energy   -0.61 eV/atom
# Crystal system   hexagonal

Record 16
# PaPd4Pt3 | the Alexandria database | PBE | optimized geometry
data_PaPd4Pt3
_chemical_formula_sum 'Pa2 Pd8 Pt6'
_space_group_name_H-M_alt 'C 1 2/m 1'
_space_group_IT_number 12
_space_group_name_Hall '-C 2y'
_cell_length_a 5.7929
_cell_length_b 11.5664
_cell_length_c 4.9103
_cell_angle_alpha 90.00
_cell_angle_beta 125.48
_cell_angle_gamma 90.00
loop_
_atom_site_label
_atom_site_type_symbol
_atom_site_fract_x
_atom_site_fract_y
_atom_site_fract_z
_atom_site_occupancy
Pa1 Pa 0.0000 0.0000 0.0000 1
Pd1 Pd 0.0000 0.1278 0.5000 1
Pd2 Pd 0.0000 0.2506 0.0000 1
Pt1 Pt 0.0000 0.3754 0.5000 1
Pt2 Pt 0.0000 0.5000 0.0000 1
# Calculated formation energy   -0.57 eV/atom
# Crystal system   monoclinic

Record 17
# PaPd3Pt3 | the Alexandria database | PBE | optimized geometry
data_PaPd3Pt3
_chemical_formula_sum 'Pa4 Pd12 Pt12'
_space_group_name_H-M_alt 'P 21 3'
_space_group_IT_number 198
_space_group_name_Hall 'P 2ac 2ab 3'
_cell_length_a 7.9528
_cell_length_b 7.9528
_cell_length_c 7.9528
_cell_angle_alpha 90.00
_cell_angle_beta 90.00
_cell_angle_gamma 90.00
loop_
_atom_site_label
_atom_site_type_symbol
_atom_site_fract_x
_atom_site_fract_y
_atom_site_fract_z
_atom_site_occupancy
Pa1 Pa 0.0897 0.4103 0.5897 1
Pd1 Pd 0.0793 0.5793 0.9207 1
Pd2 Pd 0.1012 0.1012 0.1012 1
Pd3 Pd 0.2111 0.7889 0.2889 1
Pt1 Pt 0.0826 0.7783 0.6294 1
# Calculated formation energy   -0.48 eV/atom
# Crystal system   cubic

Record 18
# PaPd2Pt4 | the Alexandria database | PBE | optimized geometry
data_PaPd2Pt4
_chemical_formula_sum 'Pa2 Pd4 Pt8'
_space_group_name_H-M_alt 'C m m m'
_space_group_IT_number 65
_space_group_name_Hall '-C 2 2'
_cell_length_a 5.6603
_cell_length_b 9.6469
_cell_length_c 4.7503
_cell_angle_alpha 90.00
_cell_angle_beta 90.00
_cell_angle_gamma 90.00
loop_
_atom_site_label
_atom_site_type_symbol
_atom_site_fract_x
_atom_site_fract_y
_atom_site_fract_z
_atom_site_occupancy
Pa1 Pa 0.0000 0.0000 0.0000 1
Pd1 Pd 0.0000 0.2505 0.5000 1
Pt1 Pt 0.2376 0.5000 0.5000 1
Pt2 Pt 0.2500 0.2500 0.0000 1
# Calculated formation energy   -0.47 eV/atom
# Crystal system   orthorhombic

Record 19
# PaPd5Pt5 | the Alexandria database | PBE | optimized geometry
data_PaPd5Pt5
_chemical_formula_sum 'Pa2 Pd10 Pt10'
_space_group_name_H-M_alt 'C m m m'
_space_group_IT_number 65
_space_group_name_Hall '-C 2 2'
_cell_length_a 4.9864
_cell_length_b 14.6787
_cell_length_c 5.3916
_cell_angle_alpha 90.00
_cell_angle_beta 90.00
_cell_angle_gamma 90.00
loop_
_atom_site_label
_atom_site_type_symbol
_atom_site_fract_x
_atom_site_fract_y
_atom_site_fract_z
_atom_site_occupancy
Pa1 Pa 0.0000 0.0000 0.0000 1
Pd1 Pd 0.0000 0.0000 0.5000 1
Pd2 Pd 0.0000 0.3211 0.0000 1
Pd3 Pd 0.0000 0.3983 0.5000 1
Pt1 Pt 0.0000 0.1649 0.2567 1
Pt2 Pt 0.0000 0.5000 0.0000 1
# Calculated formation energy   -0.14 eV/atom
# Crystal system   orthorhombic

Record 20
# PaPd8Pt2 | the Alexandria database | PBE | optimized geometry
data_PaPd8Pt2
_chemical_formula_sum 'Pa2 Pd16 Pt4'
_space_group_name_H-M_alt 'C 1 2/m 1'
_space_group_IT_number 12
_space_group_name_Hall '-C 2y'
_cell_length_a 13.9028
_cell_length_b 5.3186
_cell_length_c 5.2836
_cell_angle_alpha 90.00
_cell_angle_beta 107.80
_cell_angle_gamma 90.00
loop_
_atom_site_label
_atom_site_type_symbol
_atom_site_fract_x
_atom_site_fract_y
_atom_site_fract_z
_atom_site_occupancy
Pa1 Pa 0.0000 0.0000 0.0000 1
Pd1 Pd 0.0794 0.5000 0.2238 1
Pd2 Pd 0.0921 0.2510 0.6848 1
Pd3 Pd 0.2399 0.5000 0.0721 1
Pt1 Pt 0.1974 0.0000 0.3621 1
# Calculated formation energy   -0.25 eV/atom
# Crystal system   monoclinic

| no. | calculated volume (Å³/atom) |
| --- | --- |
| 1 | 16.4 |
| 2 | 17.2 |
| 3 | 17.2 |
| 4 | 21.3 |
| 5 | 18.5 |
| 6 | 18.2 |
| 7 | 16.6 |
| 8 | 18.1 |
| 9 | 22.0 |
| 10 | 17.2 |
| 11 | 19.6 |
| 12 | 18.8 |
| 13 | 18.8 |
| 14 | 18.1 |
| 15 | 17.1 |
| 16 | 16.7 |
| 17 | 18.0 |
| 18 | 18.5 |
| 19 | 17.9 |
| 20 | 16.9 |